PBE-GGA Cs2K5HgAu2, relaxed; VASP energy = -31.1 eV/cell; E_form = -0.149 eV per atom; mass density = 3.6 g/cm³; calculated volume = 976.5 Å³/cell; spin magnetization = 0.00 μB/cell
1.0
-1.3775 -1.9383 4.5032
13.1518 0.6191 4.2896
-2.1802 12.7903 4.8382
Cs K Hg Au
4 10 2 4
direct
0.0000 0.6722 0.1722
0.0000 0.3278 0.8278
0.0000 0.1722 0.3278
0.0000 0.8278 0.6722
0.5000 0.2065 0.0685
0.5000 0.7935 0.9315
0.5000 0.0685 0.7935
0.5000 0.7065 0.4315
0.5000 0.9315 0.2065
0.5000 0.2935 0.5685
0.5000 0.5685 0.7065
0.5000 0.4315 0.2935
0.5000 0.5000 0.0000
0.5000 0.0000 0.5000
0.0000 0.0000 0.0000
0.0000 0.5000 0.5000
0.0000 0.1207 0.6207
0.0000 0.8793 0.3793
0.0000 0.6207 0.8793
0.0000 0.3793 0.1207

---

PBE-GGA CsK4HgAu, relaxed; VASP energy = -19.3 eV/cell; E_form = -0.118 eV per atom; mass density = 3.0 g/cm³; calculated volume = 764.7 Å³/cell; spin magnetization = 0.00 μB/cell
1.0
8.8927 1.3934 -0.8659
4.2604 7.9291 -0.8659
1.4088 0.9985 11.6562
Cs K Hg Au
2 8 2 2
direct
0.0687 0.0687 0.3122
0.9313 0.9313 0.6878
0.3041 0.3041 0.5309
0.6959 0.6959 0.4691
0.0948 0.5879 0.1752
0.6162 0.6162 0.1162
0.4121 0.9052 0.8248
0.5879 0.0948 0.1752
0.3838 0.3838 0.8838
0.9052 0.4121 0.8248
0.5121 0.5121 0.6298
0.4879 0.4879 0.3702
0.2019 0.2019 0.0491
0.7981 0.7981 0.9509

---

PBE-GGA Cs2LiHgAu, relaxed; VASP energy = -8.0 eV/cell; E_form = -0.152 eV per atom; mass density = 4.5 g/cm³; calculated volume = 246.3 Å³/cell; spin magnetization = 0.00 μB/cell
1.0
-6.1916 1.2510 2.8543
1.9461 -3.4065 5.7145
1.8003 4.3680 1.9908
Cs Au Hg Li
2 1 1 1
direct
0.0000 0.5000 0.0000
0.5000 0.0000 0.0000
0.0000 0.0000 0.0000
0.5000 0.5000 0.5000
0.0000 0.0000 0.5000

---

PBE-GGA CsLi2HgAu, relaxed; VASP energy = -9.0 eV/cell; E_form = -0.157 eV per atom; mass density = 5.8 g/cm³; calculated volume = 156.7 Å³/cell; spin magnetization = 0.00 μB/cell
1.0
-0.1065 -2.7114 -4.6119
5.0549 -1.5618 0.8015
-1.7920 -4.4394 2.6514
Cs Au Hg Li
1 1 1 2
direct
0.5000 0.5000 0.5000
0.0000 0.0000 0.0000
0.0000 0.0000 0.5000
0.0000 0.5000 0.0000
0.5000 0.0000 0.0000

---

PBE-GGA CsMgHg2Au, relaxed; VASP energy = -7.2 eV/cell; E_form = -0.175 eV per atom; distance to the lowest polymorph of the same formula = 0 meV per atom; mass density = 7.2 g/cm³; calculated volume = 174.5 Å³/cell; spin magnetization = 0.00 μB/cell
1.0
-1.0590 4.0214 3.9026
-2.0269 -3.9777 3.5487
4.9142 -0.6848 2.0392
Cs Mg Au Hg
1 1 1 2
direct
0.5000 0.5000 0.5000
0.0000 0.0000 0.0000
0.0000 0.0000 0.5000
0.0000 0.5000 0.0000
0.5000 0.0000 0.0000

---

PBE-GGA CsMgHg2Au, relaxed; VASP energy = -7.1 eV/cell; E_form = -0.157 eV per atom; distance to the lowest polymorph of the same formula = 18 meV per atom; mass density = 7.6 g/cm³; calculated volume = 166.0 Å³/cell; spin magnetization = 0.00 μB/cell
1.0
-3.0873 1.0911 -4.5781
1.7996 -4.7854 -2.3541
-4.0479 -2.5645 2.1185
Cs Mg Au Hg
1 1 1 2
direct
0.5000 0.5000 0.5000
0.0000 0.0000 0.5000
0.0000 0.0000 0.0000
0.0000 0.5000 0.0000
0.5000 0.0000 0.0000